A plane-wave DFT calculation with PBE-GGA was carried out for a geometry-optimized BeC2N structure.

Cell lengths 4.4550, 2.5788, 4.8340 Å; angles 90.00, 107.80, 90.00 degrees
Last column: nearest neighbours and their distance in Å.
Space group Cm (No. 8)
Symmetry-distinct sites (fractional):
Be: 0.0000 0.0000 0.0000  3 N 1.70, 1 C 1.78
C: 0.0054 0.5000 0.5172  1 N 1.39
C: 0.1295 0.0000 0.3865  3 C 1.60-1.61, 1 Be 1.78
N: 0.1077 0.5000 0.8201  1 C 1.39

Crystal system: monoclinic
Distance to the lowest polymorph of the same formula in meV per atom: 55.4
N(E_F) in states/eV per atom: 0.36
ΔE_f (raw) in eV per atom: 0.1945